DFT (PBE+U) results for an optimized crystal structure of Tl2WO2F4.

Properties
The density comes out at 7024 kg/m3. Its uncorrected energy is -5.286 eV/atom.

Cell: 10.763 6.171 5.028 Å, 90.00 97.29 90.00°
Space group C2/m (No. 12)
Inequivalent atoms, fractional coordinates:
Tl1 0.182 0.000 0.337 (multiplicity 4)
W1 0.000 0.500 0.000 (multiplicity 2)
O1 0.147 0.500 0.235 (multiplicity 4)
F1 0.070 0.273 0.790 (multiplicity 8)